No. 1
First-principles (PBE) data for an optimized crystal structure of Cs6BiO, as listed in the Alexandria database.

```
Cs6BiO
1.0
-1.768 -7.421 1.496
5.178 1.283 5.655
-4.604 0.492 6.659
Cs O Bi
6 1 1
direct
0.719 0.054 0.283 Cs
0.720 0.720 0.974 Cs
0.946 0.281 0.717 Cs
0.054 0.719 0.283 Cs
0.281 0.946 0.717 Cs
0.280 0.280 0.026 Cs
0.000 0.000 0.000 O
0.500 0.500 0.500 Bi
```

- uncorrected formation energy (eV/f.u.) = -3.98
- symmetry = No. 12

---

No. 2
First-principles (PBE) data for an optimized crystal structure of Pm8YEr5, as listed in the Alexandria database.

```
Pm8YEr5
1.0
8.142 0.000 -2.561
-4.175 6.819 -2.986
0.209 0.000 8.533
Pm Er Y
8 5 1
direct
0.164 0.735 0.078 Pm
0.922 0.086 0.657 Pm
0.730 0.257 0.334 Pm
0.666 0.396 0.923 Pm
0.343 0.265 0.429 Pm
0.571 0.914 0.836 Pm
0.527 0.604 0.270 Pm
0.077 0.743 0.473 Pm
0.500 0.000 0.500 Er
0.818 0.686 0.722 Er
0.868 0.904 0.182 Er
0.036 0.314 0.132 Er
0.278 0.096 0.964 Er
0.250 0.500 0.750 Y
```

- formation enthalpy at 0 K (eV per atom) = 0.25
- symmetry = No. 82

---

No. 3
First-principles (PBE) data for an optimized crystal structure of Tl2P, as listed in the Alexandria database.

```
Tl2P
1.0
6.237 -0.016 -0.061
5.369 3.173 -0.061
2.217 0.603 8.371
P Tl
2 4
direct
0.417 0.417 0.202 P
0.024 0.024 0.075 P
0.875 0.875 0.568 Tl
0.644 0.644 0.316 Tl
0.289 0.289 0.945 Tl
0.585 0.585 0.727 Tl
```

- ΔE to the lowest computed polymorph (kJ/mol of atoms) = 0.0
- formation enthalpy at 0 K (eV per atom) = 0.07
- symmetry = No. 8

---

No. 4
First-principles (PBE) data for an optimized crystal structure of PmPr2ZrN4, as listed in the Alexandria database.

```
PmPr2ZrN4
1.0
-0.649 -1.828 2.952
2.118 -5.098 -2.690
4.673 2.884 2.813
Pr N Pm Zr
2 4 1 1
direct
0.500 0.000 0.500 Pr
0.000 0.500 0.500 Pr
0.500 0.773 0.776 N
0.000 0.237 0.770 N
0.500 0.227 0.224 N
0.000 0.763 0.230 N
0.500 0.500 0.000 Pm
0.000 0.000 0.000 Zr
```

- uncorrected formation energy (eV/f.u.) = -11.36
- symmetry = No. 10

---

No. 5
First-principles (PBE) data for an optimized crystal structure of Li2LaCu3, as listed in the Alexandria database.

```
Li2LaCu3
1.0
-2.908 3.606 -1.656
-5.262 -3.035 2.632
1.452 3.627 5.344
Cu Li La
6 4 2
direct
0.750 0.450 0.063 Cu
0.250 0.550 0.937 Cu
0.250 0.934 0.934 Cu
0.750 0.063 0.450 Cu
0.750 0.066 0.066 Cu
0.250 0.937 0.550 Cu
0.500 0.775 0.225 Li
0.500 0.225 0.775 Li
0.000 0.775 0.225 Li
0.000 0.225 0.775 Li
0.750 0.715 0.715 La
0.250 0.285 0.285 La
```

- formation enthalpy at 0 K (eV per atom) = -0.08
- symmetry = No. 63

---

No. 6
First-principles (PBE) data for an optimized crystal structure of CaMgBr, as listed in the Alexandria database.

```
CaMgBr
1.0
-3.623 0.327 -6.712
-6.337 -0.262 -4.251
-1.039 3.550 -0.291
Ca Mg Br
1 1 1
direct
0.651 0.651 0.349 Ca
0.307 0.307 0.693 Mg
0.042 0.042 0.958 Br
```

- ΔE to the lowest computed polymorph (kJ/mol of atoms) = 1.5
- uncorrected formation energy (eV/f.u.) = -2.19
- symmetry = No. 107

---

No. 7
First-principles (PBE) data for an optimized crystal structure of Cs2RuPtF6, as listed in the Alexandria database.

```
Cs2RuPtF6
1.0
7.184 0.000 0.000
0.000 7.184 0.000
3.592 3.592 4.045
F Pt Ru Cs
6 1 1 2
direct
0.248 0.248 0.504 F
0.695 0.305 0.000 F
0.695 0.695 0.000 F
0.305 0.305 0.000 F
0.305 0.695 0.000 F
0.752 0.752 0.496 F
0.000 0.000 0.000 Pt
0.500 0.500 0.000 Ru
0.750 0.250 0.500 Cs
0.250 0.750 0.500 Cs
```

- uncorrected formation energy (eV/f.u.) = -17.20
- symmetry = No. 139

---

No. 8
First-principles (PBE) data for an optimized crystal structure of Pu2GaHg8, as listed in the Alexandria database.

```
Pu2GaHg8
1.0
-2.432 -1.127 4.090
1.943 -4.486 -0.081
9.127 3.835 6.484
Hg Pu Ga
8 2 1
direct
0.500 0.000 0.500 Hg
0.500 0.500 0.313 Hg
0.500 0.000 0.867 Hg
0.500 0.000 0.133 Hg
0.000 0.500 0.133 Hg
0.500 0.500 0.687 Hg
0.000 0.500 0.867 Hg
0.000 0.500 0.500 Hg
0.000 0.000 0.311 Pu
0.000 0.000 0.689 Pu
0.000 0.000 0.000 Ga
```

- formation enthalpy at 0 K (eV per atom) = -0.08
- symmetry = No. 123

---

No. 9
First-principles (PBE) data for an optimized crystal structure of PaNiSnRu, as listed in the Alexandria database.

```
PaNiSnRu
1.0
-2.881 -3.670 0.630
1.454 -3.737 2.466
-1.817 -0.863 4.256
Pa Ru Sn Ni
1 1 1 1
direct
0.750 0.750 0.750 Pa
0.000 0.000 0.000 Ru
0.250 0.250 0.250 Sn
0.500 0.500 0.500 Ni
```

- formation enthalpy at 0 K (eV per atom) = -0.31
- symmetry = No. 216

---

No. 10
First-principles (PBE) data for an optimized crystal structure of Y3Cl, as listed in the Alexandria database.

```
Y3Cl
1.0
-4.776 -4.083 -0.112
4.719 -1.323 3.934
-1.494 6.071 -0.635
Y Cl
3 1
direct
0.500 0.500 0.000 Y
0.500 0.000 0.500 Y
0.000 0.500 0.500 Y
0.000 0.000 0.000 Cl
```

- ΔE to the lowest computed polymorph (kJ/mol of atoms) = 49.5
- uncorrected formation energy (eV/f.u.) = -0.58
- symmetry = No. 166

---

No. 11
First-principles (PBE) data for an optimized crystal structure of La2InAu, as listed in the Alexandria database.

```
La2InAu
1.0
6.563 0.017 0.007
5.424 3.696 0.007
2.045 0.633 4.732
In La Au
1 2 1
direct
0.208 0.208 0.292 In
0.782 0.782 0.718 La
0.997 0.997 0.003 La
0.513 0.513 0.487 Au
```

- formation enthalpy at 0 K (eV per atom) = -0.57
- symmetry = No. 44

---

No. 12
First-principles (PBE) data for an optimized crystal structure of RbTlPbS2, as listed in the Alexandria database.

```
RbTlPbS2
1.0
-4.280 0.265 0.503
3.232 -1.611 9.811
0.472 8.670 -0.557
S Tl Pb Rb
4 2 2 2
direct
0.599 0.199 0.369 S
0.157 0.314 0.021 S
0.401 0.801 0.631 S
0.843 0.686 0.979 S
0.274 0.547 0.780 Tl
0.726 0.453 0.220 Tl
0.939 0.879 0.818 Pb
0.061 0.121 0.182 Pb
0.598 0.196 0.740 Rb
0.402 0.804 0.260 Rb
```

- uncorrected formation energy (eV/f.u.) = -2.99
- symmetry = No. 12